# PBE Co2AgMo, optimized geometry
# - ΔE_f (kcal/mol of atoms) = 14.45
# - magnetization (μB/f.u.) = 2.8
data_Co2AgMo
_chemical_formula_sum 'Co8 Ag4 Mo4'
_symmetry_space_group_name_H-M 'F -4 3 m'
_symmetry_Int_Tables_number 216
_symmetry_space_group_name_Hall 'F -4 2 3'
_cell_length_a 6.070
_cell_length_b 6.070
_cell_length_c 6.070
_cell_angle_alpha 90.00
_cell_angle_beta 90.00
_cell_angle_gamma 90.00
loop_
_atom_site_label
_atom_site_type_symbol
_atom_site_fract_x
_atom_site_fract_y
_atom_site_fract_z
Co1 Co 0.000 0.000 0.000
Co2 Co 0.250 0.250 0.250
Ag1 Ag 0.250 0.250 0.750
Mo1 Mo 0.000 0.000 0.500

# PBE BiPdBr2, optimized geometry
# - magnetization (μB/f.u.) = 0.7
# - raw formation energy (eV per formula unit) = -0.27
data_BiPdBr2
_chemical_formula_sum 'Bi3 Pd3 Br6'
_symmetry_space_group_name_H-M 'R -3 m'
_symmetry_Int_Tables_number 166
_symmetry_space_group_name_Hall '-R 3 2"'
_cell_length_a 3.7867
_cell_length_b 3.7867
_cell_length_c 27.1933
_cell_angle_alpha 90.00
_cell_angle_beta 90.00
_cell_angle_gamma 120.00
loop_
_atom_site_label
_atom_site_type_symbol
_atom_site_fract_x
_atom_site_fract_y
_atom_site_fract_z
Bi1 Bi 0.0000 0.0000 0.0000
Pd1 Pd 0.0000 0.0000 0.5000
Br1 Br 0.0000 0.0000 0.1072

# PBE PmTiGePd, optimized geometry
# - ΔE_f (kcal/mol of atoms) = -10.94
# - magnetization (μB/f.u.) = 1.5
data_PmTiGePd
_chemical_formula_sum 'Pm4 Ti4 Ge4 Pd4'
_symmetry_space_group_name_H-M 'F -4 3 m'
_symmetry_Int_Tables_number 216
_symmetry_space_group_name_Hall 'F -4 2 3'
_cell_length_a 6.858
_cell_length_b 6.858
_cell_length_c 6.858
_cell_angle_alpha 90.00
_cell_angle_beta 90.00
_cell_angle_gamma 90.00
loop_
_atom_site_label
_atom_site_type_symbol
_atom_site_fract_x
_atom_site_fract_y
_atom_site_fract_z
Pm1 Pm 0.000 0.000 0.000
Ti1 Ti 0.000 0.000 0.500
Ge1 Ge 0.250 0.250 0.250
Pd1 Pd 0.250 0.250 0.750

# PBE La3Cu2Hg, optimized geometry
# - ΔE_f (kcal/mol of atoms) = -5.75
# - magnetization (μB/f.u.) = 0.1
data_La3Cu2Hg
_chemical_formula_sum 'La3 Cu2 Hg1'
_symmetry_space_group_name_H-M 'P 4/m m m'
_symmetry_Int_Tables_number 123
_symmetry_space_group_name_Hall '-P 4 2'
_cell_length_a 3.716
_cell_length_b 3.716
_cell_length_c 11.412
_cell_angle_alpha 90.00
_cell_angle_beta 90.00
_cell_angle_gamma 90.00
loop_
_atom_site_label
_atom_site_type_symbol
_atom_site_fract_x
_atom_site_fract_y
_atom_site_fract_z
La1 La 0.000 0.000 0.000
La2 La 0.000 0.000 0.314
Cu1 Cu 0.500 0.500 0.157
Hg1 Hg 0.500 0.500 0.500

# PBE Ti4CN2, optimized geometry
# - magnetization (μB/f.u.) = 0.0
# - raw formation energy (eV per formula unit) = -2.70
data_Ti4CN2
_chemical_formula_sum 'Ti8 C2 N4'
_symmetry_space_group_name_H-M 'I 4/m m m'
_symmetry_Int_Tables_number 139
_symmetry_space_group_name_Hall '-I 4 2'
_cell_length_a 4.052
_cell_length_b 4.052
_cell_length_c 10.672
_cell_angle_alpha 90.00
_cell_angle_beta 90.00
_cell_angle_gamma 90.00
loop_
_atom_site_label
_atom_site_type_symbol
_atom_site_fract_x
_atom_site_fract_y
_atom_site_fract_z
Ti1 Ti 0.000 0.000 0.220
Ti2 Ti 0.000 0.500 0.000
C1 C 0.000 0.000 0.000
N1 N 0.000 0.000 0.391

# PBE GaHgTe2O, optimized geometry
# - magnetization (μB/f.u.) = 0.2
# - raw formation energy (eV per formula unit) = 3.95
data_GaHgTe2O
_chemical_formula_sum 'Ga1 Hg1 Te2 O1'
_symmetry_space_group_name_H-M 'P 4/m m m'
_symmetry_Int_Tables_number 123
_symmetry_space_group_name_Hall '-P 4 2'
_cell_length_a 5.363
_cell_length_b 5.363
_cell_length_c 5.242
_cell_angle_alpha 90.00
_cell_angle_beta 90.00
_cell_angle_gamma 90.00
loop_
_atom_site_label
_atom_site_type_symbol
_atom_site_fract_x
_atom_site_fract_y
_atom_site_fract_z
Ga1 Ga 0.000 0.000 0.000
Hg1 Hg 0.000 0.000 0.500
Te1 Te 0.000 0.500 0.000
O1 O 0.500 0.500 0.500